1.
First-principles (PBE) data for Sm7Y2Th after structural relaxation, as listed in Alexandria via LeMat-Bulk.

## Properties
ΔH_f (0 K), eV/f.u.: 3.19
SG: No. 71
Calculated density, g cm⁻³: 6.7
Magnetic moment, μB/atom: 0.000

Cell lengths 3.5971, 10.4869, 10.4865 Å; angles 107.69, 80.14, 80.15 degrees
Last column: nearest neighbours and their distance in Å.
Positions (direct):
Sm: 0.5000 0.5000 0.5000  6 Sm 3.41-3.60
Sm: 0.2488 0.9004 0.6020  2 Y 3.46, 6 Sm 3.49-3.86
Y: 0.5000 0.8350 0.1651  6 Sm 3.30-3.46, 2 Th 3.32, 2 Y 3.60
Th: 0.0000 0.0000 0.0000  4 Y 3.32, 2 Th 3.60
Sm: 0.7512 0.0996 0.3980  2 Y 3.46, 6 Sm 3.49-3.86
Sm: 0.0000 0.3287 0.6713  2 Y 3.30, 8 Sm 3.41-3.60
Sm: 0.7511 0.3980 0.0996  2 Y 3.46, 6 Sm 3.49-3.86
Y: 0.5000 0.1650 0.8349  6 Sm 3.30-3.46, 2 Th 3.32, 2 Y 3.60
Sm: 0.2489 0.6020 0.9004  2 Y 3.46, 6 Sm 3.49-3.86
Sm: 0.0000 0.6713 0.3287  2 Y 3.30, 8 Sm 3.41-3.60

=====

2.
First-principles (PBE) data for MnAl after structural relaxation, as listed in Alexandria via LeMat-Bulk.

## Properties
ΔH_f (0 K), eV/f.u.: 0.84
SG: No. 225
Calculated density, g cm⁻³: 4.4
Magnetic moment, μB/atom: 1.234

Cell lengths 3.5359, 3.5359, 3.5359 Å; angles 60.00, 60.00, 60.00 degrees
Last column: nearest neighbours and their distance in Å.
Positions (direct):
Al: 0.0000 0.0000 0.0000  6 Mn 2.50
Mn: 0.5000 0.5000 0.5000  6 Al 2.50

=====

3.
First-principles (PBE) data for NdTh2Pd9 after structural relaxation, as listed in Alexandria via LeMat-Bulk.

## Properties
ΔH_f (0 K), eV/f.u.: -10.96
SG: No. 123
Calculated density, g cm⁻³: 11.6
Magnetic moment, μB/atom: 0.000

Cell lengths 4.2143, 4.2143, 12.6335 Å; angles 90.00, 90.00, 90.00 degrees
Last column: nearest neighbours and their distance in Å.
Positions (direct):
Pd: 0.5000 0.0000 0.8304  2 Th 2.93, 8 Pd 2.97-3.00, 2 Nd 3.00
Pd: 0.5000 0.0000 0.5000  8 Pd 2.96-2.98, 4 Th 3.00
Pd: 0.0000 0.5000 0.8304  2 Th 2.93, 8 Pd 2.97-3.00, 2 Nd 3.00
Nd: 0.0000 0.0000 0.0000  12 Pd 2.98-3.00
Pd: 0.5000 0.5000 0.3351  8 Pd 2.96-2.97, 4 Th 2.98
Pd: 0.5000 0.5000 0.6649  8 Pd 2.96-2.97, 4 Th 2.98
Pd: 0.0000 0.5000 0.1696  2 Th 2.93, 8 Pd 2.97-3.00, 2 Nd 3.00
Th: 0.0000 0.0000 0.6693  12 Pd 2.93-3.00
Pd: 0.5000 0.0000 0.1696  2 Th 2.93, 8 Pd 2.97-3.00, 2 Nd 3.00
Pd: 0.5000 0.5000 0.0000  4 Nd 2.98, 8 Pd 3.00
Th: 0.0000 0.0000 0.3307  12 Pd 2.93-3.00
Pd: 0.0000 0.5000 0.5000  8 Pd 2.96-2.98, 4 Th 3.00

=====

Q: The highest ΔH_f (0 K) belongs to which entry?
A: Sm7Y2Th

=====

Q: Number 3 is which compound?
A: NdTh2Pd9